Below is a relaxed CrRuRh6 crystal, with properties calculated at the PBE level.

Lattice parameters (Å, degrees): 5.374 9.703 5.297 90.00 119.23 90.00
Space group C2/m (No. 12)
Asymmetric unit:
Cr: 0.000 0.000 0.000
Ru: 0.000 0.000 0.500
Rh: 0.003 0.225 0.249
Rh: 0.035 0.500 0.765

Output
Size of the total moment in μB/f.u.: 0.2
ΔE to the lowest computed polymorph in meV/atom: 467
Energy of formation from the pure elements in meV per atom: 436
Crystal system: monoclinic

---

Below is a relaxed Cr3RuRh6 crystal, with properties calculated at the PBE level.

Lattice parameters (Å, degrees): 7.130 4.266 9.321 90.00 108.79 90.00
Space group P2_1/m (No. 11)
Asymmetric unit:
Cr: 0.104 0.250 0.236
Cr: 0.296 0.250 0.035
Cr: 0.297 0.750 0.366
Ru: 0.098 0.750 0.566
Rh: 0.093 0.250 0.734
Rh: 0.103 0.750 0.070
Rh: 0.296 0.750 0.868
Rh: 0.300 0.250 0.530
Rh: 0.492 0.250 0.330
Rh: 0.496 0.750 0.162

Output
Size of the total moment in μB/f.u.: 0.0
Energy of formation from the pure elements in meV per atom: -98
Crystal system: monoclinic

---

Below is a relaxed Cr2RuRh3 crystal, with properties calculated at the PBE level.

Lattice parameters (Å, degrees): 5.664 5.664 5.664 90.00 90.00 90.00
Space group Pn-3m (No. 224, origin choice 2)
Asymmetric unit:
Cr: 0.000 0.000 0.000
Ru: 0.250 0.250 0.250
Rh: 0.250 0.250 0.750

Output
Size of the total moment in μB/f.u.: 0.0
ΔE to the lowest computed polymorph in meV/atom: 261
Energy of formation from the pure elements in meV per atom: 249
Crystal system: cubic